(1)
## Mn3ReH (PBE-GGA)

Data for a geometry-optimized Mn3ReH structure.

abc: 4.948 4.948 6.171
angles: 125.32 125.32 63.45
Fractional positions:
1 Mn 0.000 0.000 0.000
2 Mn 0.074 0.074 0.676
3 Mn 0.081 0.581 0.169
4 Mn 0.504 0.996 0.508
5 Mn 0.581 0.081 0.169
6 Mn 0.996 0.504 0.508
7 Re 0.492 0.492 0.009
8 Re 0.598 0.598 0.679
9 H 0.035 0.035 0.343
10 H 0.285 0.285 0.325

Calculated values
Its density of states at the Fermi level is 6.7 states/eV/cell. The calculation puts the energy above the most stable polymorph in this dataset at 0.00 eV per formula unit. Its space group is No. 8.

(2)
## Mn3ReH (PBE-GGA)

Data for a geometry-optimized Mn3ReH structure.

abc: 7.182 2.627 5.287
angles: 90.00 90.00 90.00
Fractional positions:
1 Mn 0.006 0.000 0.227
2 Mn 0.250 0.500 0.011
3 Mn 0.494 0.000 0.227
4 Mn 0.506 0.000 0.773
5 Mn 0.750 0.500 0.989
6 Mn 0.994 0.000 0.773
7 Re 0.250 0.500 0.481
8 Re 0.750 0.500 0.519
9 H 0.250 0.000 0.775
10 H 0.750 0.000 0.225

Calculated values
Its density of states at the Fermi level is 9.3 states/eV/cell. The calculation puts the energy above the most stable polymorph in this dataset at 0.54 eV per formula unit. Its space group is No. 51.

(3)
## Mn2ReHRh (PBE-GGA)

Data for a geometry-optimized Mn2ReHRh structure.

abc: 3.761 3.761 3.792
angles: 90.00 90.00 90.00
Fractional positions:
1 Mn 0.000 0.500 0.000
2 Mn 0.500 0.000 0.000
3 Re 0.000 0.000 0.500
4 H 0.000 0.000 0.000
5 Rh 0.500 0.500 0.500

Calculated values
Its density of states at the Fermi level is 4.0 states/eV/cell. The calculation puts the energy above the most stable polymorph in this dataset at 0.16 eV per formula unit. Its space group is No. 123.

(4)
## MnReHRh2 (PBE-GGA)

Data for a geometry-optimized MnReHRh2 structure.

abc: 3.854 3.854 3.947
angles: 90.00 90.00 90.00
Fractional positions:
1 Mn 0.000 0.000 0.000
2 Re 0.500 0.500 0.000
3 H 0.500 0.500 0.500
4 Rh 0.000 0.500 0.500
5 Rh 0.500 0.000 0.500

Calculated values
Its density of states at the Fermi level is 3.4 states/eV/cell. The calculation puts the energy above the most stable polymorph in this dataset at 0.00 eV per formula unit. Its space group is No. 123.

(5)
## MnReHRh2 (PBE-GGA)

Data for a geometry-optimized MnReHRh2 structure.

abc: 3.792 3.792 3.903
angles: 90.00 90.00 90.00
Fractional positions:
1 Mn 0.000 0.000 0.000
2 Re 0.500 0.500 0.000
3 H 0.000 0.000 0.500
4 Rh 0.000 0.500 0.500
5 Rh 0.500 0.000 0.500

Calculated values
Its density of states at the Fermi level is 4.4 states/eV/cell. The calculation puts the energy above the most stable polymorph in this dataset at 0.08 eV per formula unit. Its space group is No. 123.

(6)
## Mn2ReHRh (PBE-GGA)

Data for a geometry-optimized Mn2ReHRh structure.

abc: 3.791 3.791 3.706
angles: 90.00 90.00 90.00
Fractional positions:
1 Mn 0.000 0.500 0.000
2 Mn 0.500 0.000 0.000
3 Re 0.000 0.000 0.500
4 H 0.500 0.500 0.000
5 Rh 0.500 0.500 0.500

Calculated values
Its density of states at the Fermi level is 3.3 states/eV/cell. The calculation puts the energy above the most stable polymorph in this dataset at 0.00 eV per formula unit. Its space group is No. 123.

(7)
## MnRe2HRu (PBE-GGA)

Data for a geometry-optimized MnRe2HRu structure.

abc: 3.886 3.886 3.831
angles: 90.00 90.00 90.00
Fractional positions:
1 Mn 0.000 0.000 0.000
2 Re 0.000 0.500 0.500
3 Re 0.500 0.000 0.500
4 H 0.000 0.000 0.500
5 Ru 0.500 0.500 0.000

Calculated values
The value obtained for the calculated total energy is -9.23 eV per atom. Its density of states at the Fermi level is 3.4 states/eV/cell. Its space group is No. 123.

(8)
## Mn2ReHRu (PBE-GGA)

Data for a geometry-optimized Mn2ReHRu structure.

abc: 3.745 3.745 3.820
angles: 90.00 90.00 90.00
Fractional positions:
1 Mn 0.000 0.500 0.000
2 Mn 0.500 0.000 0.000
3 Re 0.000 0.000 0.500
4 H 0.000 0.000 0.000
5 Ru 0.500 0.500 0.500

Calculated values
Its density of states at the Fermi level is 3.9 states/eV/cell. The calculation puts the energy above the most stable polymorph in this dataset at 0.23 eV per formula unit. Its space group is No. 123.

(9)
## MnReHRu2 (PBE-GGA)

Data for a geometry-optimized MnReHRu2 structure.

abc: 3.856 3.856 3.805
angles: 90.00 90.00 90.00
Fractional positions:
1 Mn 0.000 0.000 0.000
2 Re 0.500 0.500 0.000
3 H 0.000 0.000 0.500
4 Ru 0.000 0.500 0.500
5 Ru 0.500 0.000 0.500

Calculated values
The value obtained for the calculated total energy is -8.67 eV per atom. Its density of states at the Fermi level is 3.0 states/eV/cell. Its space group is No. 123.

(10)
## Mn2ReHRu (PBE-GGA)

Data for a geometry-optimized Mn2ReHRu structure.

abc: 3.770 3.770 3.748
angles: 90.00 90.00 90.00
Fractional positions:
1 Mn 0.000 0.500 0.000
2 Mn 0.500 0.000 0.000
3 Re 0.000 0.000 0.500
4 H 0.500 0.500 0.000
5 Ru 0.500 0.500 0.500

Calculated values
Its density of states at the Fermi level is 3.4 states/eV/cell. The calculation puts the energy above the most stable polymorph in this dataset at 0.00 eV per formula unit. Its space group is No. 123.

(11)
## Mn2ReHSe (PBE-GGA)

Data for a geometry-optimized Mn2ReHSe structure.

abc: 5.030 5.030 4.599
angles: 90.00 90.00 90.00
Fractional positions:
1 Mn 0.000 0.500 0.000
2 Mn 0.500 0.000 0.000
3 Re 0.000 0.000 0.000
4 H 0.500 0.500 0.500
5 Se 0.000 0.000 0.500

Calculated values
The value obtained for the calculated total energy is -6.29 eV per atom. Its density of states at the Fermi level is 3.4 states/eV/cell. Its space group is No. 123.

(12)
## MnReH2Se (PBE-GGA)

Data for a geometry-optimized MnReH2Se structure.

abc: 3.486 3.486 4.771
angles: 90.00 90.00 90.00
Fractional positions:
1 Mn 0.000 0.000 0.000
2 Re 0.000 0.000 0.500
3 H 0.000 0.500 0.500
4 H 0.500 0.000 0.500
5 Se 0.500 0.500 0.000

Calculated values
The value obtained for the calculated total energy is -5.63 eV per atom. Its density of states at the Fermi level is 6.9 states/eV/cell. Its space group is No. 123.

(13)
## Sr2MnReH (PBE-GGA)

Data for a geometry-optimized Sr2MnReH structure.

abc: 5.999 5.999 3.505
angles: 90.00 90.00 90.00
Fractional positions:
1 Sr 0.000 0.500 0.000
2 Sr 0.500 0.000 0.000
3 Mn 0.000 0.000 0.500
4 Re 0.500 0.500 0.000
5 H 0.500 0.500 0.500

Calculated values
The value obtained for the calculated total energy is -4.64 eV per atom. Its density of states at the Fermi level is 5.7 states/eV/cell. Its space group is No. 123.

(14)
## TaMnRe2H (PBE-GGA)

Data for a geometry-optimized TaMnRe2H structure.

abc: 4.282 4.282 3.414
angles: 90.00 90.00 90.00
Fractional positions:
1 Ta 0.000 0.000 0.000
2 Mn 0.500 0.500 0.000
3 Re 0.000 0.500 0.500
4 Re 0.500 0.000 0.500
5 H 0.500 0.500 0.500

Calculated values
The value obtained for the calculated total energy is -9.85 eV per atom. Its density of states at the Fermi level is 2.7 states/eV/cell. Its space group is No. 123.

(15)
## TaMn2ReH (PBE-GGA)

Data for a geometry-optimized TaMn2ReH structure.

abc: 3.830 3.830 3.893
angles: 90.00 90.00 90.00
Fractional positions:
1 Ta 0.000 0.000 0.000
2 Mn 0.000 0.500 0.500
3 Mn 0.500 0.000 0.500
4 Re 0.500 0.500 0.000
5 H 0.500 0.500 0.500

Calculated values
Its density of states at the Fermi level is 6.4 states/eV/cell. The calculation puts the energy above the most stable polymorph in this dataset at 0.36 eV per formula unit. Its space group is No. 123.

(16)
## Ta2MnReH (PBE-GGA)

Data for a geometry-optimized Ta2MnReH structure.

abc: 4.418 4.418 3.291
angles: 90.00 90.00 90.00
Fractional positions:
1 Ta 0.000 0.500 0.000
2 Ta 0.500 0.000 0.000
3 Mn 0.000 0.000 0.500
4 Re 0.500 0.500 0.500
5 H 0.000 0.000 0.000

Calculated values
The value obtained for the calculated total energy is -9.92 eV per atom. Its density of states at the Fermi level is 2.2 states/eV/cell. Its space group is No. 123.

(17)
## TaMn2ReH (PBE-GGA)

Data for a geometry-optimized TaMn2ReH structure.

abc: 3.753 3.753 4.173
angles: 90.00 90.00 90.00
Fractional positions:
1 Ta 0.000 0.000 0.000
2 Mn 0.000 0.500 0.500
3 Mn 0.500 0.000 0.500
4 Re 0.500 0.500 0.000
5 H 0.000 0.000 0.500

Calculated values
Its density of states at the Fermi level is 2.4 states/eV/cell. The calculation puts the energy above the most stable polymorph in this dataset at 0.00 eV per formula unit. Its space group is No. 123.

(18)
## MnRe2TcH (PBE-GGA)

Data for a geometry-optimized MnRe2TcH structure.

abc: 3.914 3.914 3.817
angles: 90.00 90.00 90.00
Fractional positions:
1 Mn 0.000 0.000 0.000
2 Re 0.000 0.500 0.500
3 Re 0.500 0.000 0.500
4 Tc 0.500 0.500 0.000
5 H 0.000 0.000 0.500

Calculated values
The value obtained for the calculated total energy is -9.45 eV per atom. Its density of states at the Fermi level is 3.6 states/eV/cell. Its space group is No. 123.

(19)
## MnReTc2H (PBE-GGA)

Data for a geometry-optimized MnReTc2H structure.

abc: 3.898 3.898 3.813
angles: 90.00 90.00 90.00
Fractional positions:
1 Mn 0.000 0.000 0.000
2 Re 0.500 0.500 0.000
3 Tc 0.000 0.500 0.500
4 Tc 0.500 0.000 0.500
5 H 0.000 0.000 0.500

Calculated values
The value obtained for the calculated total energy is -9.09 eV per atom. Its density of states at the Fermi level is 3.7 states/eV/cell. Its space group is No. 123.

(20)
## Ti2MnReH (PBE-GGA)

Data for a geometry-optimized Ti2MnReH structure.

abc: 4.297 4.297 3.241
angles: 90.00 90.00 90.00
Fractional positions:
1 Ti 0.000 0.500 0.000
2 Ti 0.500 0.000 0.000
3 Mn 0.000 0.000 0.500
4 Re 0.500 0.500 0.500
5 H 0.000 0.000 0.000

Calculated values
The value obtained for the calculated total energy is -8.46 eV per atom. Its density of states at the Fermi level is 3.4 states/eV/cell. Its space group is No. 123.

(21)
## TiMn2ReH (PBE-GGA)

Data for a geometry-optimized TiMn2ReH structure.

abc: 3.685 3.685 4.127
angles: 90.00 90.00 90.00
Fractional positions:
1 Ti 0.000 0.000 0.000
2 Mn 0.000 0.500 0.500
3 Mn 0.500 0.000 0.500
4 Re 0.500 0.500 0.000
5 H 0.000 0.000 0.500

Calculated values
The value obtained for the calculated total energy is -8.46 eV per atom. Its density of states at the Fermi level is 4.6 states/eV/cell. Its space group is No. 123.

(22)
## MnV2ReH (PBE-GGA)

Data for a geometry-optimized MnV2ReH structure.

abc: 4.136 4.136 3.222
angles: 90.00 90.00 90.00
Fractional positions:
1 Mn 0.000 0.000 0.000
2 V 0.000 0.500 0.500
3 V 0.500 0.000 0.500
4 Re 0.500 0.500 0.000
5 H 0.000 0.000 0.500

Calculated values
The value obtained for the calculated total energy is -8.77 eV per atom. Its density of states at the Fermi level is 3.7 states/eV/cell. Its space group is No. 123.

(23)
## ZrMnRe2H (PBE-GGA)

Data for a geometry-optimized ZrMnRe2H structure.

abc: 4.370 4.370 4.923
angles: 90.00 90.00 90.00
Fractional positions:
1 Zr 0.000 0.000 0.000
2 Mn 0.000 0.000 0.500
3 Re 0.000 0.500 0.500
4 Re 0.500 0.000 0.500
5 H 0.500 0.500 0.000

Calculated values
The value obtained for the calculated total energy is -7.55 eV per atom. Its density of states at the Fermi level is 6.1 states/eV/cell. Its space group is No. 123.

(24)
## Zr2MnReH (PBE-GGA)

Data for a geometry-optimized Zr2MnReH structure.

abc: 4.596 4.596 3.412
angles: 90.00 90.00 90.00
Fractional positions:
1 Zr 0.000 0.500 0.000
2 Zr 0.500 0.000 0.000
3 Mn 0.000 0.000 0.500
4 Re 0.500 0.500 0.500
5 H 0.000 0.000 0.000

Calculated values
The value obtained for the calculated total energy is -8.61 eV per atom. Its density of states at the Fermi level is 3.6 states/eV/cell. Its space group is No. 123.

(25)
## MnHRh (PBE-GGA)

Data for a geometry-optimized MnHRh structure.

abc: 3.612 3.612 3.612
angles: 60.00 60.00 60.00
Fractional positions:
1 Mn 0.000 0.000 0.000
2 H 0.750 0.750 0.750
3 Rh 0.500 0.500 0.500

Calculated values
The value obtained for the calculated total energy is -6.30 eV per atom. Its density of states at the Fermi level is 1.0 states/eV/cell. Its space group is No. 216.

(26)
## Mn2H3Rh2 (PBE-GGA)

Data for a geometry-optimized Mn2H3Rh2 structure.

abc: 5.028 5.028 4.681
angles: 100.99 100.99 33.95
Fractional positions:
1 Mn 0.118 0.118 0.335
2 Mn 0.882 0.882 0.665
3 H 0.232 0.232 0.774
4 H 0.500 0.500 0.500
5 H 0.768 0.768 0.226
6 Rh 0.377 0.377 0.154
7 Rh 0.623 0.623 0.846

Calculated values
The value obtained for the calculated total energy is -6.22 eV per atom. Its density of states at the Fermi level is 3.0 states/eV/cell. Its space group is No. 12.

(27)
## MnH8Rh3 (PBE-GGA)

Data for a geometry-optimized MnH8Rh3 structure.

abc: 5.799 5.799 5.477
angles: 108.00 108.00 35.31
Fractional positions:
1 Mn 0.000 0.000 0.000
2 H 0.121 0.121 0.295
3 H 0.152 0.152 0.923
4 H 0.269 0.269 0.668
5 H 0.285 0.285 0.303
6 H 0.474 0.474 0.936
7 H 0.586 0.586 0.533
8 H 0.834 0.834 0.079
9 H 0.912 0.912 0.563
10 Rh 0.101 0.101 0.580
11 Rh 0.325 0.325 0.034
12 Rh 0.410 0.410 0.591

Calculated values
The value obtained for the calculated total energy is -4.75 eV per atom. Its density of states at the Fermi level is 4.5 states/eV/cell. Its space group is No. 8.

(28)
## Mn3HRh (PBE-GGA)

Data for a geometry-optimized Mn3HRh structure.

abc: 4.850 4.850 4.850
angles: 90.00 90.00 90.00
Fractional positions:
1 Mn 0.000 0.000 0.500
2 Mn 0.000 0.500 0.000
3 Mn 0.500 0.000 0.000
4 H 0.500 0.500 0.500
5 Rh 0.000 0.000 0.000

Calculated values
Its density of states at the Fermi level is 3.6 states/eV/cell. The calculation puts the energy above the most stable polymorph in this dataset at 6.53 eV per formula unit. Its space group is No. 221.